No. 1
! LaTePN2 (GGA-PBE, optimized geometry); values from VASP
! Calculated density = 6.06 g/cm3
! Distance to the lowest polymorph of the same formula = 0.00 eV/f.u.
! Magnetic moment = 0.00 μB per formula unit
! Final energy = -5.421 eV per atom
! Raw formation energy = 605 meV per atom
&SYSTEM
  ibrav = 0, nat = 5, ntyp = 4
/
ATOMIC_SPECIES
La 138.91 La.upf
Te 127.60 Te.upf
P 30.97 P.upf
N 14.01 N.upf
ATOMIC_POSITIONS angstrom
La 0.0000 0.0000 0.0000
Te 2.1105 2.1105 0.0000
P 2.1105 2.1105 2.5050
N 0.0000 2.1105 2.5050
N 2.1105 0.0000 2.5050
CELL_PARAMETERS angstrom
4.2210 0.0000 0.0000
0.0000 4.2210 0.0000
0.0000 0.0000 5.0099



No. 2
! LaThPN (GGA-PBE, optimized geometry); values from VASP
! Calculated density = 7.68 g/cm3
! Magnetic moment = 0.40 μB per formula unit
! Final energy = -7.690 eV per atom
! Raw formation energy = -1169 meV per atom
&SYSTEM
  ibrav = 0, nat = 8, ntyp = 4
/
ATOMIC_SPECIES
La 138.91 La.upf
Th 232.04 Th.upf
P 30.97 P.upf
N 14.01 N.upf
ATOMIC_POSITIONS angstrom
La 1.0821 3.2464 0.0000
La 3.2464 1.0821 0.0000
Th 1.0821 1.0821 3.7642
Th 3.2464 3.2464 5.8392
P 1.0821 1.0821 7.6094
P 3.2464 3.2464 1.9940
N 1.0821 3.2464 4.8017
N 3.2464 1.0821 4.8017
CELL_PARAMETERS angstrom
4.3286 0.0000 0.0000
0.0000 4.3286 0.0000
0.0000 0.0000 9.6033



No. 3
! La2TiP2N6 (GGA-PBE, optimized geometry); values from VASP
! Calculated density = 5.55 g/cm3
! Magnetic moment = 0.00 μB per formula unit
! Final energy = -8.265 eV per atom
! Raw formation energy = -1127 meV per atom
&SYSTEM
  ibrav = 0, nat = 11, ntyp = 4
/
ATOMIC_SPECIES
La 138.91 La.upf
Ti 47.87 Ti.upf
P 30.97 P.upf
N 14.01 N.upf
ATOMIC_POSITIONS angstrom
La 0.0000 0.0000 3.6481
La 0.0000 0.0000 12.3401
Ti 0.0000 0.0000 0.0000
P 0.0000 0.0000 6.9491
P 0.0000 0.0000 9.0391
N 0.0000 -1.5796 6.5863
N -1.3680 0.7898 6.5863
N -1.3680 -0.7898 9.4020
N 1.3680 0.7898 6.5863
N 1.3680 -0.7898 9.4020
N 0.0000 1.5796 9.4020
CELL_PARAMETERS angstrom
2.7653 1.5965 5.3294
-2.7653 1.5965 5.3294
0.0000 -3.1930 5.3294



No. 4
! La2TlP2N6 (GGA-PBE, optimized geometry); values from VASP
! Calculated density = 4.68 g/cm3
! Magnetic moment = 1.01 μB per formula unit
! Final energy = -7.190 eV per atom
! Raw formation energy = -554 meV per atom
&SYSTEM
  ibrav = 0, nat = 11, ntyp = 4
/
ATOMIC_SPECIES
La 138.91 La.upf
Tl 204.38 Tl.upf
P 30.97 P.upf
N 14.01 N.upf
ATOMIC_POSITIONS angstrom
La 2.2897 1.3946 1.1606
La 10.1596 6.1903 4.7189
Tl 6.2247 3.7925 2.9398
P 3.7062 2.2651 4.4235
P 8.7431 5.3198 1.4561
N 3.6828 3.7855 4.8668
N 2.5225 1.5436 3.6825
N 5.0491 1.5483 4.8607
N 7.4002 6.0366 1.0188
N 9.9268 6.0413 2.1970
N 8.7666 3.7994 1.0128
CELL_PARAMETERS angstrom
6.5341 0.0000 0.0000
3.0064 5.8074 0.0000
2.9088 1.7775 5.8796



No. 5
! La2TmP2N6 (GGA-PBE, optimized geometry); values from VASP
! Calculated density = 6.17 g/cm3
! Magnetic moment = 1.02 μB per formula unit
! Final energy = -7.884 eV per atom
! Raw formation energy = -1057 meV per atom
&SYSTEM
  ibrav = 0, nat = 11, ntyp = 4
/
ATOMIC_SPECIES
La 138.91 La.upf
Tm 168.93 Tm.upf
P 30.97 P.upf
N 14.01 N.upf
ATOMIC_POSITIONS angstrom
La 0.0000 0.0000 3.6908
La 0.0000 0.0000 13.8489
Tm 0.0000 0.0000 0.0000
P 0.0000 0.0000 7.2121
P 0.0000 0.0000 10.3276
N -1.3680 -0.7898 10.1000
N 0.0000 -1.5796 7.4397
N -1.3680 0.7898 7.4397
N 1.3680 -0.7898 10.1000
N 0.0000 1.5796 10.1000
N 1.3680 0.7898 7.4397
CELL_PARAMETERS angstrom
2.8055 1.6198 5.8466
-2.8055 1.6198 5.8466
0.0000 -3.2395 5.8466



No. 6
! La2Y4P3N2 (GGA-PBE, optimized geometry); values from VASP
! Calculated density = 5.10 g/cm3
! Magnetic moment = 0.51 μB per formula unit
! Final energy = -7.578 eV per atom
! Raw formation energy = -1343 meV per atom
&SYSTEM
  ibrav = 0, nat = 11, ntyp = 4
/
ATOMIC_SPECIES
La 138.91 La.upf
Y 88.91 Y.upf
P 30.97 P.upf
N 14.01 N.upf
ATOMIC_POSITIONS angstrom
La 0.0000 0.0000 4.6520
La 0.0000 0.0000 19.0818
Y 2.2757 0.0000 1.8393
Y 2.2757 0.0000 10.0276
Y 0.0000 2.2757 1.8393
Y 0.0000 2.2757 10.0276
P 0.0000 0.0000 7.8446
P 0.0000 0.0000 11.8669
P 0.0000 0.0000 15.8892
N 0.0000 0.0000 2.2746
N 0.0000 0.0000 21.4592
CELL_PARAMETERS angstrom
-2.2757 2.2757 11.8669
2.2757 -2.2757 11.8669
2.2757 2.2757 -11.8669



No. 7
! La2ZnP2N6 (GGA-PBE, optimized geometry); values from VASP
! Calculated density = 5.48 g/cm3
! Magnetic moment = 0.00 μB per formula unit
! Final energy = -7.212 eV per atom
! Raw formation energy = -675 meV per atom
&SYSTEM
  ibrav = 0, nat = 11, ntyp = 4
/
ATOMIC_SPECIES
La 138.91 La.upf
Zn 65.41 Zn.upf
P 30.97 P.upf
N 14.01 N.upf
ATOMIC_POSITIONS angstrom
La 0.0000 0.0000 3.5856
La 0.0000 0.0000 13.1849
Zn 0.0000 0.0000 0.0000
P 0.0000 0.0000 7.0275
P 0.0000 0.0000 9.7430
N -1.3682 -0.7900 9.7198
N 0.0000 -1.5799 7.0507
N -1.3682 0.7900 7.0507
N 1.3682 -0.7900 9.7198
N 0.0000 1.5799 9.7198
N 1.3682 0.7900 7.0507
CELL_PARAMETERS angstrom
2.7672 1.5976 5.5902
-2.7672 1.5976 5.5902
0.0000 -3.1953 5.5902



No. 8
! LaZn2PN4 (GGA-PBE, optimized geometry); values from VASP
! Calculated density = 6.06 g/cm3
! Magnetic moment = 0.00 μB per formula unit
! Final energy = -6.463 eV per atom
! Raw formation energy = -689 meV per atom
&SYSTEM
  ibrav = 0, nat = 8, ntyp = 4
/
ATOMIC_SPECIES
La 138.91 La.upf
Zn 65.41 Zn.upf
P 30.97 P.upf
N 14.01 N.upf
ATOMIC_POSITIONS angstrom
La 0.0000 0.0000 0.0000
Zn 2.6300 0.0000 1.7653
Zn 0.0000 2.6300 1.7653
P 0.0000 0.0000 3.5307
N 1.6533 1.6533 -0.9374
N 0.9767 -0.9767 4.4681
N 0.9767 0.9767 2.5933
N -0.9767 0.9767 4.4681
CELL_PARAMETERS angstrom
-2.6300 2.6300 3.5307
2.6300 -2.6300 3.5307
2.6300 2.6300 -3.5307



No. 9
! LaZn2PN (GGA-PBE, optimized geometry); values from VASP
! Calculated density = 6.34 g/cm3
! Magnetic moment = 0.00 μB per formula unit
! Final energy = -4.854 eV per atom
! Raw formation energy = -612 meV per atom
&SYSTEM
  ibrav = 0, nat = 10, ntyp = 4
/
ATOMIC_SPECIES
La 138.91 La.upf
Zn 65.41 Zn.upf
P 30.97 P.upf
N 14.01 N.upf
ATOMIC_POSITIONS angstrom
La 1.8854 5.1079 5.8570
La 1.8854 -5.1079 1.9523
Zn 1.8854 1.9322 4.3186
Zn 1.8854 1.9322 7.3955
Zn 1.8854 -1.9322 0.4139
Zn 1.8854 -1.9322 3.4908
P 1.8854 2.9824 1.9523
P 1.8854 -2.9824 5.8570
N 1.8854 0.0000 0.0000
N 1.8854 0.0000 3.9047
CELL_PARAMETERS angstrom
1.8854 -5.5996 0.0000
1.8854 5.5996 0.0000
0.0000 0.0000 7.8094



No. 10
! LaZr3P4N12 (GGA-PBE, optimized geometry); values from VASP
! Calculated density = 4.25 g/cm3
! Magnetic moment = 0.00 μB per formula unit
! Final energy = -8.354 eV per atom
! Raw formation energy = -748 meV per atom
&SYSTEM
  ibrav = 0, nat = 20, ntyp = 4
/
ATOMIC_SPECIES
La 138.91 La.upf
Zr 91.22 Zr.upf
P 30.97 P.upf
N 14.01 N.upf
ATOMIC_POSITIONS angstrom
La 0.0000 0.0000 0.0000
Zr -2.9528 -1.0630 2.7764
Zr 2.3970 -2.0257 2.7764
Zr 0.5558 3.0887 2.7764
P -2.3875 -4.1353 4.1647
P 0.0000 0.0000 4.1647
P -2.3875 4.1354 4.1647
P 4.7751 0.0000 4.1647
N -3.2225 -2.8068 4.0241
N -4.3497 0.0000 4.1647
N -0.8195 -4.1942 4.3053
N -1.5731 0.0000 4.1647
N -3.2225 2.8068 4.3053
N 2.1749 -3.7670 4.1647
N 0.7866 -1.3624 4.1647
N -0.8195 4.1942 4.0241
N 0.7866 1.3624 4.1647
N 4.0420 -1.3874 4.0241
N 2.1749 3.7670 4.1647
N 4.0420 1.3874 4.3053
CELL_PARAMETERS angstrom
5.3498 3.0887 2.7764
-5.3498 3.0887 2.7764
0.0000 -6.1774 2.7764



No. 11
! LaPaN (GGA-PBE, optimized geometry); values from VASP
! Calculated density = 6.96 g/cm3
! Distance to the lowest polymorph of the same formula = 3.23 eV/f.u.
! Magnetic moment = 0.96 μB per formula unit
! Final energy = -7.249 eV per atom
! Raw formation energy = 334 meV per atom
&SYSTEM
  ibrav = 0, nat = 3, ntyp = 3
/
ATOMIC_SPECIES
La 138.91 La.upf
Pa 231.04 Pa.upf
N 14.01 N.upf
ATOMIC_POSITIONS angstrom
La 0.0000 0.0000 0.0000
Pa 0.0000 0.0000 4.1673
N 0.0000 0.0000 2.2335
CELL_PARAMETERS angstrom
-2.3713 2.3713 4.0728
2.3713 -2.3713 4.0728
2.3713 2.3713 -4.0728



No. 12
! La3PaN4 (GGA-PBE, optimized geometry); values from VASP
! Calculated density = 8.31 g/cm3
! Distance to the lowest polymorph of the same formula = 0.00 eV/f.u.
! Magnetic moment = 0.00 μB per formula unit
! Final energy = -8.637 eV per atom
! Raw formation energy = -1440 meV per atom
&SYSTEM
  ibrav = 0, nat = 8, ntyp = 3
/
ATOMIC_SPECIES
La 138.91 La.upf
Pa 231.04 Pa.upf
N 14.01 N.upf
ATOMIC_POSITIONS angstrom
La 0.0000 0.0000 0.0000
La 2.5947 0.0000 2.6120
La 0.0000 2.5947 2.6120
Pa 0.0000 0.0000 5.2240
N 2.5947 0.0000 0.0000
N 0.0000 0.0000 2.9876
N 0.0000 2.5947 0.0000
N 0.0000 0.0000 7.4603
CELL_PARAMETERS angstrom
-2.5947 2.5947 5.2240
2.5947 -2.5947 5.2240
2.5947 2.5947 -5.2240